No. 1
A relaxed GdMgNO crystal, computed with PBE.

Summary:
Energy relative to the lowest polymorph listed for this composition = 0.034 eV per atom
Total moment = 0.0 μB/f.u.
Space-group type = Pmc2_1 (26)

```
GdMgNO
1.0
-2.8591 1.3362 2.2716
2.3106 -1.8591 4.0017
3.0174 5.2624 0.7025
O Gd N Mg
2 2 2 2
Direct
0.5000 0.8884 0.8566
0.5000 0.3884 0.1434
0.0000 0.9553 0.6916
0.0000 0.4553 0.3084
0.0000 0.4332 0.6835
0.0000 0.9332 0.3165
0.5000 0.4772 0.8256
0.5000 0.9772 0.1744
```

No. 2
A relaxed BIr2 crystal, computed with PBE.

Summary:
VASP energy = -6.088 eV per atom
Total moment = 1.4 μB/f.u.
Space-group type = Fd-3m (227)

```
BIr2
1.0
-4.7796 -0.7309 4.0713
0.9972 -2.8109 5.5730
-0.1614 3.3981 5.3274
Ir B
4 2
Direct
0.3750 0.3750 0.8750
0.3750 0.8750 0.3750
0.8750 0.3750 0.3750
0.3750 0.3750 0.3750
0.2500 0.2500 0.2500
0.5000 0.5000 0.5000
```

No. 3
A relaxed ZrCdNO crystal, computed with PBE.

Summary:
Energy relative to the lowest polymorph listed for this composition = 0.519 eV per atom
Total moment = 0.8 μB/f.u.
Space-group type = P4/nmm (129)

```
ZrCdNO
1.0
3.5962 0.0000 0.0000
0.0000 3.5962 0.0000
0.0000 0.0000 8.1041
Cd N Zr O
2 2 2 2
Direct
0.2500 0.7500 0.5000
0.7500 0.2500 0.5000
0.7500 0.7500 0.2605
0.2500 0.2500 0.7395
0.2500 0.2500 0.1515
0.7500 0.7500 0.8485
0.2500 0.7500 0.0000
0.7500 0.2500 0.0000
```

No. 4
A relaxed K4Re2Cl10O crystal, computed with PBE.

Summary:
VASP energy = -4.447 eV per atom
Total moment = 2.0 μB/f.u.
Space-group type = I4/mmm (139)

```
K4Re2Cl10O
1.0
4.2682 3.9856 4.1326
-5.0661 5.0374 0.3741
-2.9806 -8.4517 5.0372
K Cl O Re
4 10 1 2
Direct
0.0000 0.5000 0.0000
0.2500 0.7500 0.5000
0.7500 0.2500 0.5000
0.5000 0.0000 0.0000
0.8749 0.8749 0.2228
0.1251 0.1251 0.7772
0.6521 0.1251 0.7772
0.7620 0.7620 0.5239
0.3479 0.8749 0.2228
0.6521 0.6521 0.7772
0.3479 0.3479 0.2228
0.8749 0.3479 0.2228
0.2380 0.2380 0.4761
0.1251 0.6521 0.7772
0.0000 0.0000 0.0000
0.1035 0.1035 0.2069
0.8965 0.8965 0.7931
```

No. 5
A relaxed TmPuTe crystal, computed with PBE.

Summary:
Energy relative to the lowest polymorph listed for this composition = 0.000 eV per atom
Total moment = 7.5 μB/f.u.
Space-group type = F-43m (216)

```
TmPuTe
1.0
0.0000 3.5880 3.5880
3.5880 0.0000 3.5880
3.5880 3.5880 0.0000
Te Tm Pu
1 1 1
Direct
0.0000 0.0000 0.0000
0.7500 0.7500 0.7500
0.2500 0.2500 0.2500
```

No. 6
A relaxed BaZnBAu crystal, computed with PBE.

Summary:
Energy relative to the lowest polymorph listed for this composition = 0.185 eV per atom
Space-group type = F-43m (216)

```
BaZnBAu
1.0
0.0000 3.5854 3.5854
3.5854 0.0000 3.5854
3.5854 3.5854 0.0000
Au Zn Ba B
1 1 1 1
Direct
0.7500 0.7500 0.7500
0.2500 0.2500 0.2500
0.5000 0.5000 0.5000
0.0000 0.0000 0.0000
```

No. 7
A relaxed MgHgSO crystal, computed with PBE.

Summary:
Energy relative to the lowest polymorph listed for this composition = 0.074 eV per atom
Space-group type = P4/nmm (129)

```
MgHgSO
1.0
3.8857 0.0000 0.0000
0.0000 3.8857 0.0000
0.0000 0.0000 9.0084
O Hg Mg S
2 2 2 2
Direct
0.2500 0.7500 0.5000
0.7500 0.2500 0.5000
0.7500 0.7500 0.1572
0.2500 0.2500 0.8428
0.7500 0.7500 0.5466
0.2500 0.2500 0.4534
0.2500 0.2500 0.1615
0.7500 0.7500 0.8385
```

No. 8
A relaxed TbSbN2O crystal, computed with PBE.

Summary:
VASP energy = -7.048 eV per atom
Total moment = 0.0 μB/f.u.
Space-group type = P2_1/c (14)

```
TbSbN2O
1.0
8.0538 0.0000 0.0000
0.0000 7.8446 0.0000
-7.7776 0.0000 8.0588
O N Sb Tb
8 16 8 8
Direct
0.8114 0.0427 0.4982
0.1886 0.9573 0.5018
0.1886 0.5427 0.0018
0.7031 0.5544 0.7013
0.7031 0.9456 0.2013
0.2969 0.4456 0.2987
0.2969 0.0544 0.7987
0.8114 0.4573 0.9982
0.6916 0.5582 0.1890
0.2048 0.9293 0.0016
0.5465 0.7456 0.3283
0.2048 0.5707 0.5016
0.4535 0.2544 0.6717
0.7952 0.0707 0.9984
0.3084 0.0582 0.3110
0.9554 0.2500 0.2838
0.5465 0.7544 0.8283
0.4535 0.2456 0.1717
0.3084 0.4418 0.8110
0.9554 0.2500 0.7838
0.7952 0.4293 0.4984
0.0446 0.7500 0.2162
0.0446 0.7500 0.7162
0.6916 0.9418 0.6890
0.0030 0.0034 0.2427
0.9970 0.5034 0.2573
0.4800 0.5049 0.7427
0.0030 0.4966 0.7427
0.5200 0.0049 0.7573
0.9970 0.9966 0.7573
0.5200 0.4951 0.2573
0.4800 0.9951 0.2427
0.9416 0.7418 0.9644
0.0584 0.2418 0.5356
0.5570 0.2504 0.5239
0.9416 0.7582 0.4644
0.4430 0.7504 0.9761
0.4430 0.7496 0.4761
0.0584 0.2582 0.0356
0.5570 0.2496 0.0239
```

No. 9
A relaxed MgZnCu4As2 crystal, computed with PBE.

Summary:
VASP energy = -3.296 eV per atom
Space-group type = P4/mmm (123)

```
MgZnCu4As2
1.0
-4.1363 0.7814 1.1864
0.4516 -2.7399 3.3788
1.9045 4.6914 3.5498
Cu Mg Zn As
4 1 1 2
Direct
0.5000 0.0000 0.7301
0.5000 0.0000 0.2699
0.0000 0.5000 0.7301
0.0000 0.5000 0.2699
0.5000 0.5000 0.0000
0.0000 0.0000 0.5000
0.5000 0.5000 0.5000
0.0000 0.0000 0.0000
```

No. 10
A relaxed K2CdCoBr6 crystal, computed with PBE.

Summary:
VASP energy = -2.975 eV per atom
Total moment = 3.0 μB/f.u.
Space-group type = Fm-3m (225)

```
K2CdCoBr6
1.0
-0.7395 -7.5206 0.3984
3.3435 -3.8394 5.5987
-4.1873 -3.1049 5.4856
Br K Co Cd
6 2 1 1
Direct
0.7410 0.2590 0.7410
0.7410 0.7410 0.2590
0.2590 0.7410 0.7410
0.7410 0.2590 0.2590
0.2590 0.7410 0.2590
0.2590 0.2590 0.7410
0.2500 0.2500 0.2500
0.7500 0.7500 0.7500
0.5000 0.5000 0.5000
0.0000 0.0000 0.0000
```

No. 11
A relaxed NdInFeTe3 crystal, computed with PBE.

Summary:
VASP energy = -4.779 eV per atom
Total moment = 3.9 μB/f.u.
Space-group type = Cmcm (63)

```
NdInFeTe3
1.0
-3.6846 2.2502 0.3082
-4.8976 -4.4772 4.5316
4.0079 5.2580 9.5265
Te Fe Nd In
6 2 2 2
Direct
0.6373 0.7254 0.4226
0.3627 0.2746 0.5774
0.9217 0.1566 0.2500
0.3627 0.2746 0.9226
0.0783 0.8434 0.7500
0.6373 0.7254 0.0774
0.4729 0.0541 0.7500
0.5271 0.9459 0.2500
0.0000 0.0000 0.0000
0.0000 0.0000 0.5000
0.2448 0.5104 0.2500
0.7552 0.4896 0.7500
```

No. 12
A relaxed RbLuSnSe3 crystal, computed with PBE.

Summary:
VASP energy = -4.492 eV per atom
Total moment = 0.0 μB/f.u.
Space-group type = Cmcm (63)

```
RbLuSnSe3
1.0
2.0316 -8.4322 0.0000
2.0316 8.4322 0.0000
0.0000 0.0000 11.8424
Sn Lu Se Rb
2 2 6 2
Direct
0.3899 0.6101 0.7500
0.6101 0.3899 0.2500
0.0000 0.0000 0.5000
0.0000 0.0000 0.0000
0.9993 0.0007 0.2500
0.3869 0.6131 0.9953
0.6131 0.3869 0.4953
0.6131 0.3869 0.0047
0.3869 0.6131 0.5047
0.0007 0.9993 0.7500
0.3066 0.6934 0.2500
0.6934 0.3066 0.7500
```

No. 13
A relaxed Al2Ni crystal, computed with PBE.

Summary:
VASP energy = -3.626 eV per atom
Total moment = 0.0 μB/f.u.
Space-group type = Fd-3m (227)

```
Al2Ni
1.0
-0.8256 1.5075 6.9929
4.8101 4.1594 3.3789
-1.8131 6.6582 2.0583
Al Ni
4 2
Direct
0.3750 0.3750 0.3750
0.3750 0.3750 0.8750
0.3750 0.8750 0.3750
0.8750 0.3750 0.3750
0.2500 0.2500 0.2500
0.5000 0.5000 0.5000
```

No. 14
A relaxed KOs3Pb5 crystal, computed with PBE.

Summary:
VASP energy = -5.466 eV per atom
Total moment = 2.8 μB/f.u.
Space-group type = P6/mmm (191)

```
KOs3Pb5
1.0
5.6685 0.0000 0.0000
-2.8342 4.9091 0.0000
0.0000 0.0000 9.1503
Pb Os K
5 3 1
Direct
0.0000 0.0000 0.5000
0.3333 0.6667 0.7633
0.6667 0.3333 0.2367
0.3333 0.6667 0.2367
0.6667 0.3333 0.7633
0.5000 0.0000 0.5000
0.0000 0.5000 0.5000
0.5000 0.5000 0.5000
0.0000 0.0000 0.0000
```

No. 15
A relaxed HoHf3C2S2 crystal, computed with PBE.

Summary:
VASP energy = -8.956 eV per atom
Total moment = 0.0 μB/f.u.
Space-group type = P3m1 (156)

```
HoHf3C2S2
1.0
-2.7000 1.9023 0.9484
-0.2556 -3.4258 -0.0816
3.7247 -0.5570 11.7212
Hf S C Ho
3 2 2 1
Direct
0.6667 0.3333 0.8934
0.6667 0.3333 0.6002
0.0000 0.0000 0.4061
0.6667 0.3333 0.2640
0.0000 0.0000 0.7459
0.3333 0.6667 0.5037
0.3333 0.6667 0.9844
0.0000 0.0000 0.1023
```

No. 16
A relaxed Re6PdS2 crystal, computed with PBE.

Summary:
VASP energy = -9.485 eV per atom
Total moment = 0.0 μB/f.u.
Space-group type = P-1 (2)

```
Re6PdS2
1.0
-1.5742 -0.0130 3.7873
-1.9936 -5.3429 -0.9583
6.4851 -0.4456 0.7695
Re S Pd
6 2 1
Direct
0.4273 0.6419 0.8651
0.8746 0.3679 0.7926
0.7604 0.6434 0.5414
0.1254 0.6321 0.2074
0.5727 0.3581 0.1349
0.2396 0.3566 0.4586
0.5038 0.0071 0.2801
0.4962 0.9929 0.7199
0.0000 0.0000 0.0000
```

No. 17
A relaxed ScGaAg crystal, computed with PBE.

Summary:
VASP energy = -3.976 eV per atom
Total moment = 0.0 μB/f.u.
Space-group type = F-43m (216)

```
ScGaAg
1.0
0.0000 3.2351 3.2351
3.2351 0.0000 3.2351
3.2351 3.2351 0.0000
Ga Sc Ag
1 1 1
Direct
0.7500 0.7500 0.7500
0.0000 0.0000 0.0000
0.2500 0.2500 0.2500
```

No. 18
A relaxed LiNbNiAs crystal, computed with PBE.

Summary:
Energy relative to the lowest polymorph listed for this composition = 0.151 eV per atom
Total moment = 1.0 μB/f.u.
Space-group type = F-43m (216)

```
LiNbNiAs
1.0
-1.6699 -3.6213 1.5408
-3.5525 0.1252 2.3749
-3.6800 -1.4979 -1.5780
Nb Ni As Li
1 1 1 1
Direct
0.5000 0.5000 0.5000
0.7500 0.7500 0.7500
0.0000 0.0000 0.0000
0.2500 0.2500 0.2500
```

No. 19
A relaxed KRbTl4Au2 crystal, computed with PBE.

Summary:
VASP energy = -2.429 eV per atom
Space-group type = Amm2 (38)

```
KRbTl4Au2
1.0
8.5737 0.0000 0.0000
0.0000 2.3868 6.2001
0.0000 -2.3868 6.2001
K Tl Au Rb
1 4 2 1
Direct
0.5000 0.4497 0.4497
0.8020 0.8465 0.8465
0.6930 0.1543 0.1543
0.1980 0.8465 0.8465
0.3070 0.1543 0.1543
0.5000 0.7309 0.7309
0.0000 0.2682 0.2682
0.0000 0.5497 0.5497
```

No. 20
A relaxed PaSnMo crystal, computed with PBE.

Summary:
VASP energy = -7.372 eV per atom
Total moment = 0.0 μB/f.u.
Space-group type = F-43m (216)

```
PaSnMo
1.0
3.3054 -2.3147 2.5341
-1.2637 -2.4636 3.8780
0.1397 -4.7626 -0.0526
Pa Sn Mo
1 1 1
Direct
0.5000 0.5000 0.5000
0.7500 0.7500 0.7500
0.0000 0.0000 0.0000
```